# 1
Cs2Tm2MgW4O16 | the Alexandria database | PBE with a Hubbard U | optimized geometry; crystal system = monoclinic; symmetry = C2; uncorrected energy = -7.117 eV/atom; offset from the most stable computed form = 0.050 eV per atom; DOS at the Fermi energy = 0.00 states/eV per atom
1.0
-6.156 -1.384 4.717
-0.638 -7.519 -2.260
0.635 -5.509 5.346
Cs Tm Mg W O
2 2 1 4 16
direct
0.178 0.822 0.500 Cs
0.797 0.203 0.000 Cs
0.780 0.220 0.500 Tm
0.228 0.772 0.000 Tm
0.454 0.546 0.500 Mg
0.302 0.280 0.457 W
0.705 0.703 0.033 W
0.720 0.698 0.543 W
0.297 0.295 0.967 W
0.225 0.345 0.718 O
0.749 0.624 0.821 O
0.655 0.775 0.282 O
0.376 0.251 0.179 O
0.962 0.659 0.362 O
0.050 0.320 0.143 O
0.341 0.038 0.638 O
0.680 0.950 0.857 O
0.618 0.408 0.310 O
0.389 0.607 0.217 O
0.592 0.382 0.690 O
0.393 0.611 0.783 O
0.041 0.257 0.524 O
0.964 0.733 0.966 O
0.743 0.959 0.476 O
0.267 0.036 0.034 O

# 2
NaCaWO4 | the Alexandria database | PBE with a Hubbard U | optimized geometry; crystal system = orthorhombic; symmetry = Imma; uncorrected energy = -6.549 eV/atom; DOS at the Fermi energy = 0.00 states/eV per atom
1.0
6.578 0.000 0.000
3.289 5.546 -0.236
3.289 1.465 5.354
Na Ca W O
2 2 2 8
direct
0.500 0.000 0.500 Na
0.000 0.000 0.500 Na
0.000 0.000 0.000 Ca
0.000 0.500 0.500 Ca
0.622 0.628 0.128 W
0.378 0.372 0.872 W
0.724 0.767 0.785 O
0.276 0.715 0.733 O
0.724 0.285 0.267 O
0.276 0.233 0.215 O
0.262 0.729 0.229 O
0.780 0.729 0.229 O
0.220 0.271 0.771 O
0.738 0.271 0.771 O